Record 1
# Ti2In3 (GGA-PBE, optimized geometry)
data_Ti2In3
_chemical_formula_sum 'Ti8 In12'
_cell_length_a 11.693
_cell_length_b 4.244
_cell_length_c 8.769
_cell_angle_alpha 90.00
_cell_angle_beta 90.00
_cell_angle_gamma 90.00
_symmetry_space_group_name_H-M 'P n m a'
_symmetry_Int_Tables_number 62
loop_
_symmetry_equiv_pos_as_xyz
'x,y,z'
'-x,-y,-z'
'-x+1/2,-y,z+1/2'
'x+1/2,y,-z+1/2'
'x+1/2,-y+1/2,-z+1/2'
'-x+1/2,y+1/2,z+1/2'
'-x,y+1/2,-z'
'x,-y+1/2,z'
loop_
_atom_site_label
_atom_site_fract_x
_atom_site_fract_y
_atom_site_fract_z
Ti1 0.032 0.250 0.236
Ti2 0.171 0.750 0.379
In1 0.077 0.250 0.580
In2 0.122 0.750 0.033
In3 0.223 0.750 0.709
# Mass density   6718 kg/m3
# ΔE_f   71 meV/atom

***

Record 2
# Ti5In (GGA-PBE, optimized geometry)
data_Ti5In
_chemical_formula_sum 'Ti5 In1'
_cell_length_a 5.1025
_cell_length_b 5.1025
_cell_length_c 4.7684
_cell_angle_alpha 90.00
_cell_angle_beta 90.00
_cell_angle_gamma 120.00
_symmetry_space_group_name_H-M 'P -6 2 m'
_symmetry_Int_Tables_number 189
_symmetry_space_group_name_Hall 'P -6 -2'
loop_
_atom_site_label
_atom_site_fract_x
_atom_site_fract_y
_atom_site_fract_z
Ti1 0.0000 0.6685 0.0000
Ti2 0.3333 0.6667 0.5000
In1 0.0000 0.0000 0.5000
# Mass density   5470 kg/m3
# ΔE_f   -46 meV/atom
# Distance to the lowest polymorph of the same formula   15.7 kJ/mol of formula units

***

Record 3
# Ti2In (GGA-PBE, optimized geometry)
data_Ti2In
_chemical_formula_sum 'Ti8 In4'
_cell_length_a 6.491
_cell_length_b 6.491
_cell_length_c 6.491
_cell_angle_alpha 90.00
_cell_angle_beta 90.00
_cell_angle_gamma 90.00
_symmetry_space_group_name_H-M 'F -4 3 m'
_symmetry_Int_Tables_number 216
_symmetry_space_group_name_Hall 'F -4 2 3'
loop_
_atom_site_label
_atom_site_fract_x
_atom_site_fract_y
_atom_site_fract_z
Ti1 0.000 0.000 0.000
Ti2 0.250 0.250 0.250
In1 0.000 0.000 0.500
# Mass density   5113 kg/m3
# ΔE_f   534 meV/atom

***

Record 4
# Ti3In2 (GGA-PBE, optimized geometry)
data_Ti3In2
_chemical_formula_sum 'Ti12 In8'
_cell_length_a 10.841
_cell_length_b 3.822
_cell_length_c 9.705
_cell_angle_alpha 90.00
_cell_angle_beta 90.00
_cell_angle_gamma 90.00
_symmetry_space_group_name_H-M 'P n m a'
_symmetry_Int_Tables_number 62
loop_
_symmetry_equiv_pos_as_xyz
'x,y,z'
'-x,-y,-z'
'-x+1/2,-y,z+1/2'
'x+1/2,y,-z+1/2'
'x+1/2,-y+1/2,-z+1/2'
'-x+1/2,y+1/2,z+1/2'
'-x,y+1/2,-z'
'x,-y+1/2,z'
loop_
_atom_site_label
_atom_site_fract_x
_atom_site_fract_y
_atom_site_fract_z
Ti1 0.037 0.250 0.094
Ti2 0.063 0.750 0.596
Ti3 0.126 0.250 0.800
In1 0.116 0.750 0.302
In2 0.240 0.750 0.010
# Mass density   6165 kg/m3
# ΔE_f   63 meV/atom
# Distance to the lowest polymorph of the same formula   73.1 kJ/mol of formula units

***

Q: Which of these has the highest ΔE_f?
A: Ti2In